DFT (PBE) results for a relaxed Pu2NbRh crystal.

a = 2.9053 Å, b = 2.9053 Å, c = 32.5350 Å
α = 90.00°, β = 90.00°, γ = 120.00°
Space group R-3m (No. 166, hexagonal axes)
Asymmetric unit:
Pu: 0.0000 0.0000 0.0910 (multiplicity 6)
Nb: 0.0000 0.0000 0.0000 (multiplicity 3)
Rh: 0.0000 0.0000 0.5000 (multiplicity 3)

Raw total energy = -0.412 hartree per atom
Calculated volume = 19.82 A^3/atom
Density of states at the Fermi level = 31.400 states/eV/cell
DFT formation energy = 0.323 eV per atom